Entry from Alexandria via LeMat-Bulk: crystalline Lu2TiPb at its relaxed geometry (GGA-PBE).

## Properties
DFT total energy = -5.257 eV/atom
Space-group type = P4/mmm, No. 123
N(E_F) = 1.12 states/eV per atom
Relative energy among the computed polymorphs = 0.0000 eV/atom
ΔE_f = -96 meV per atom
Total magnetic moment = 2.92 Bohr magnetons per cell

a = 4.286 Å, b = 4.813 Å, c = 4.813 Å
α = 90.00°, β = 90.00°, γ = 90.00°
Sites, in units of the cell vectors:
Pb1 0.500 0.000 0.000
Lu1 0.000 0.000 0.500
Lu2 0.000 0.500 0.000
Ti1 0.500 0.500 0.500